DFT (PBE-GGA) results for a relaxed K2LaHfS4 crystal.

abc: 7.000 3.971 7.733
angles: 90.00 106.85 90.00
Sites, in units of the cell vectors:
K 0.000 0.000 0.000
K 0.500 0.500 0.000
La 0.000 0.500 0.500
Hf 0.500 0.000 0.500
S 0.266 0.000 0.708
S 0.293 0.500 0.304
S 0.707 0.500 0.696
S 0.734 0.000 0.292

Values from the calculation:
formation energy (no corrections): -1.638 eV per atom
calculated total energy: -46.7 eV/cell
density of states at the Fermi level: 0.40 states/eV per atom

=====

DFT (PBE-GGA) results for a relaxed K4La3HfSe8 crystal.

abc: 9.167 9.167 9.167
angles: 56.01 56.01 56.01
Sites, in units of the cell vectors:
K 0.000 0.000 0.000
K 0.000 0.500 0.500
K 0.500 0.000 0.500
K 0.500 0.500 0.000
La 0.000 0.000 0.500
La 0.000 0.500 0.000
La 0.500 0.000 0.000
Hf 0.500 0.500 0.500
Se 0.240 0.240 0.240
Se 0.263 0.721 0.721
Se 0.279 0.279 0.737
Se 0.279 0.737 0.279
Se 0.721 0.263 0.721
Se 0.721 0.721 0.263
Se 0.737 0.279 0.279
Se 0.760 0.760 0.760

Values from the calculation:
formation energy (no corrections): -1.657 eV per atom
calculated total energy: -83.5 eV/cell
density of states at the Fermi level: 0.32 states/eV per atom

=====

DFT (PBE-GGA) results for a relaxed K3La3HfSe8 crystal.

abc: 9.263 9.263 9.263
angles: 55.50 55.50 55.50
Sites, in units of the cell vectors:
K 0.000 0.500 0.500
K 0.500 0.000 0.500
K 0.500 0.500 0.000
La 0.000 0.000 0.500
La 0.000 0.500 0.000
La 0.500 0.000 0.000
Hf 0.500 0.500 0.500
Se 0.238 0.238 0.238
Se 0.263 0.717 0.717
Se 0.283 0.283 0.737
Se 0.283 0.737 0.283
Se 0.717 0.263 0.717
Se 0.717 0.717 0.263
Se 0.737 0.283 0.283
Se 0.762 0.762 0.762

Values from the calculation:
formation energy (no corrections): -1.723 eV per atom
calculated total energy: -81.7 eV/cell
density of states at the Fermi level: 0.00 states/eV per atom

=====

DFT (PBE-GGA) results for a relaxed K3La2HfTe6 crystal.

abc: 7.844 7.844 8.681
angles: 98.74 98.74 120.03
Sites, in units of the cell vectors:
K 0.000 0.000 0.000
K 0.326 0.674 0.000
K 0.674 0.326 0.000
La 0.166 0.834 0.500
La 0.834 0.166 0.500
Hf 0.500 0.500 0.500
Te 0.123 0.430 0.290
Te 0.265 0.265 0.712
Te 0.430 0.123 0.290
Te 0.570 0.877 0.710
Te 0.735 0.735 0.288
Te 0.877 0.570 0.710

Values from the calculation:
formation energy (no corrections): -1.258 eV per atom
calculated total energy: -57.1 eV/cell
density of states at the Fermi level: 0.46 states/eV per atom